1.
Computed, not measured: a geometry-optimized CaLaMgSc structure at the GGA-PBE level of DFT.

abc: 5.601 5.601 5.601
angles: 60.00 60.00 60.00
Element x y z (fractional)
Sc: 0.000 0.000 0.000
Ca: 0.750 0.750 0.750
Mg: 0.500 0.500 0.500
La: 0.250 0.250 0.250

Energy of formation ... 92 meV/atom


2.
Computed, not measured: a geometry-optimized NpReSe4 structure at the GGA-PBE level of DFT.

abc: 7.384 7.384 7.384
angles: 104.77 104.77 119.36
Site moments in Bohr magnetons follow the coordinates.
Element x y z (fractional)
Np: 0.743 0.743 0.000  3.10
Np: 0.493 0.993 0.500  3.10
Re: 0.252 0.252 0.000  0.21
Re: 0.002 0.502 0.500  0.21
Se: 0.233 0.944 0.711  -0.05
Se: 0.769 0.468 0.698  -0.11
Se: 0.694 0.483 0.211  -0.05
Se: 0.218 0.019 0.198  -0.11
Se: 0.272 0.483 0.789  -0.05
Se: 0.821 0.019 0.802  -0.11
Se: 0.769 0.071 0.302  -0.11
Se: 0.233 0.522 0.289  -0.05

Raw formation energy ... -0.36 eV per atom


3.
Computed, not measured: a geometry-optimized NaHRu2 structure at the GGA-PBE level of DFT.

abc: 4.226 4.226 4.226
angles: 60.00 60.00 60.00
Site moments in Bohr magnetons follow the coordinates.
Element x y z (fractional)
Ru: 0.250 0.250 0.250  1.55
Ru: 0.750 0.750 0.750  1.55
H: 0.000 0.000 0.000  0.00
Na: 0.500 0.500 0.500  -0.01

Raw total energy ... -4.25 eV per atom


Here are the calculated total moment numbers, same order: 0.00; 2.98; 3.26 (μB per formula unit).
Here are the calculated ρ numbers, same order: 3318; 8105; 7036 (kg/m3).